Entry 1:
Here is a geometry-optimized Zn2TeIr structure from OQMD. Energies are from PBE-GGA.

Cell and atoms, written as POSCAR:
```
Zn2TeIr
1.0
0.0000 3.2588 3.2588
3.2588 0.0000 3.2588
3.2588 3.2588 0.0000
Ir Te Zn
1 1 2
Direct
0.5000 0.5000 0.5000
0.7500 0.7500 0.7500
0.0000 0.0000 0.0000
0.2500 0.2500 0.2500
```

Properties
Its raw total energy is -3.362 eV/atom. Its volume is 17.30 A^3/atom.


Entry 2:
Here is a geometry-optimized Hf2MgSi structure from OQMD. Energies are from PBE-GGA.

Cell and atoms, written as POSCAR:
```
Hf2MgSi
1.0
0.0000 3.3587 3.3587
3.3587 0.0000 3.3587
3.3587 3.3587 0.0000
Hf Mg Si
2 1 1
Direct
0.0000 0.0000 0.0000
0.7500 0.7500 0.7500
0.2500 0.2500 0.2500
0.5000 0.5000 0.5000
```

Properties
Its raw total energy is -6.465 eV/atom. Its volume is 18.95 A^3/atom.


Entry 3:
Here is a geometry-optimized TmGaHgSe3 structure from OQMD. Energies are from PBE-GGA.

Cell and atoms, written as POSCAR:
```
TmGaHgSe3
1.0
7.4898 4.3831 -1.0117
-8.7057 -0.7337 -0.0679
-0.3369 3.0185 10.5833
Ga Hg Se Tm
2 2 6 2
Direct
0.4530 0.5470 0.2500
0.5470 0.4530 0.7500
0.7338 0.2662 0.2500
0.2662 0.7338 0.7500
0.3872 0.6128 0.0581
0.0497 0.9503 0.2500
0.3872 0.6128 0.4419
0.6128 0.3872 0.5581
0.9503 0.0497 0.7500
0.6128 0.3872 0.9419
0.0000 0.0000 0.0000
0.0000 0.0000 0.5000
```

Properties
Its raw total energy is -4.028 eV/atom. Its volume is 31.18 A^3/atom.